# 1
The following is a GGA-PBE calculation of DyHoTiTl after structural relaxation, from the Alexandria database.

a = 5.264 Å, b = 5.264 Å, c = 5.264 Å
α = 60.00°, β = 60.00°, γ = 60.00°
Element x y z (fractional)
Dy: 0.000 0.000 0.000
Ho: 0.500 0.500 0.500
Ti: 0.250 0.250 0.250
Tl: 0.750 0.750 0.750



# 2
The following is a GGA-PBE calculation of Dy3Ho3Tl2 after structural relaxation, from the Alexandria database.

a = 4.835 Å, b = 4.838 Å, c = 9.688 Å
α = 90.00°, β = 90.00°, γ = 90.00°
Element x y z (fractional)
Dy: 0.000 0.000 0.000
Dy: 0.000 0.000 0.500
Dy: 0.500 0.500 0.000
Ho: 0.500 0.000 0.250
Ho: 0.500 0.000 0.750
Ho: 0.500 0.500 0.500
Tl: 0.000 0.500 0.251
Tl: 0.000 0.500 0.749

## Properties
Polymorph energy (0 for the lowest one) (meV per atom): 0



# 3
The following is a GGA-PBE calculation of Dy12Ho6Tl after structural relaxation, from the Alexandria database.

a = 8.429 Å, b = 8.429 Å, c = 8.429 Å
α = 88.72°, β = 88.72°, γ = 88.72°
Element x y z (fractional)
Dy: 0.039 0.280 0.933
Dy: 0.067 0.961 0.720
Dy: 0.137 0.316 0.488
Dy: 0.280 0.933 0.039
Dy: 0.316 0.488 0.137
Dy: 0.488 0.137 0.316
Dy: 0.512 0.863 0.684
Dy: 0.684 0.512 0.863
Dy: 0.720 0.067 0.961
Dy: 0.863 0.684 0.512
Dy: 0.933 0.039 0.280
Dy: 0.961 0.720 0.067
Ho: 0.205 0.596 0.758
Ho: 0.242 0.795 0.404
Ho: 0.404 0.242 0.795
Ho: 0.596 0.758 0.205
Ho: 0.758 0.205 0.596
Ho: 0.795 0.404 0.242
Tl: 0.500 0.500 0.500



# 4
The following is a GGA-PBE calculation of Dy4Ho4Tl after structural relaxation, from the Alexandria database.

a = 7.865 Å, b = 7.865 Å, c = 7.865 Å
α = 95.50°, β = 95.50°, γ = 143.92°
Element x y z (fractional)
Dy: 0.000 0.336 0.336
Dy: 0.000 0.664 0.664
Dy: 0.336 0.000 0.336
Dy: 0.664 0.000 0.664
Ho: 0.338 0.338 0.676
Ho: 0.338 0.662 0.000
Ho: 0.662 0.338 0.000
Ho: 0.662 0.662 0.324
Tl: 0.000 0.000 0.000



# 5
The following is a GGA-PBE calculation of Dy3HoTl after structural relaxation, from the Alexandria database.

a = 12.863 Å, b = 12.863 Å, c = 4.794 Å
α = 90.00°, β = 90.00°, γ = 158.46°
Element x y z (fractional)
Dy: 0.049 0.951 0.750
Dy: 0.250 0.750 0.750
Dy: 0.448 0.552 0.750
Dy: 0.552 0.448 0.250
Dy: 0.750 0.250 0.250
Dy: 0.951 0.049 0.250
Ho: 0.150 0.850 0.250
Ho: 0.850 0.150 0.750
Tl: 0.348 0.652 0.250
Tl: 0.652 0.348 0.750



# 6
The following is a GGA-PBE calculation of DyHo9Tl2 after structural relaxation, from the Alexandria database.

a = 4.850 Å, b = 4.850 Å, c = 14.916 Å
α = 90.00°, β = 90.00°, γ = 90.00°
Element x y z (fractional)
Dy: 0.000 0.000 0.000
Ho: 0.000 0.500 0.171
Ho: 0.000 0.500 0.500
Ho: 0.000 0.500 0.829
Ho: 0.500 0.000 0.171
Ho: 0.500 0.000 0.500
Ho: 0.500 0.000 0.829
Ho: 0.500 0.500 0.000
Ho: 0.500 0.500 0.337
Ho: 0.500 0.500 0.663
Tl: 0.000 0.000 0.339
Tl: 0.000 0.000 0.661



# 7
The following is a GGA-PBE calculation of DyHoTl2 after structural relaxation, from the Alexandria database.

a = 9.862 Å, b = 9.862 Å, c = 9.862 Å
α = 21.85°, β = 21.85°, γ = 21.85°
Element x y z (fractional)
Dy: 0.000 0.000 0.000
Ho: 0.500 0.500 0.500
Tl: 0.250 0.250 0.250
Tl: 0.750 0.750 0.750



# 8
The following is a GGA-PBE calculation of Dy3HoTl3 after structural relaxation, from the Alexandria database.

a = 9.384 Å, b = 9.384 Å, c = 5.235 Å
α = 90.00°, β = 90.00°, γ = 120.00°
Element x y z (fractional)
Dy: 0.003 0.235 0.250
Dy: 0.232 0.997 0.250
Dy: 0.235 0.232 0.750
Dy: 0.765 0.768 0.250
Dy: 0.768 0.003 0.750
Dy: 0.997 0.765 0.750
Ho: 0.333 0.667 0.250
Ho: 0.667 0.333 0.750
Tl: 0.072 0.450 0.750
Tl: 0.378 0.928 0.750
Tl: 0.450 0.378 0.250
Tl: 0.550 0.622 0.750
Tl: 0.622 0.072 0.250
Tl: 0.928 0.550 0.250

## Properties
Polymorph energy (0 for the lowest one) (meV per atom): 36



Result set for M_tot: 2.85; 1.48; 0.00; 0.00; 0.00; 0.00; 0.00; 0.00 μB per cell, one per record in the order listed.
Result set for calculated density: 9.33; 10.19; 8.72; 9.23; 9.77; 9.73; 10.50; 10.53 g/cm³, one per record in the order listed.
Result set for energy of formation: 0.001; -0.176; 0.090; -0.040; -0.122; -0.106; -0.259; -0.209 eV/atom, one per record in the order listed.